No. 1
Density functional theory data (PBE-GGA) for a relaxed NaCd5Hg11 crystal.

Properties
Energy of formation   -0.0147 eV/atom
Final energy   -0.56 eV/atom
Spin magnetization   0.0 μB/f.u.

a = 6.4207 Å, b = 8.3883 Å, c = 8.3883 Å
α = 99.97°, β = 93.28°, γ = 93.28°
Last column: nearest neighbours and their distance in Å.
Element x y z (fractional)
1 Na 0.0000 0.0000 0.0000  6 Hg 3.21-3.23
2 Cd 0.6585 0.0231 0.3484  7 Hg 2.95-3.27
3 Cd 0.3415 0.9769 0.6516  7 Hg 2.95-3.27
4 Cd 0.3415 0.6516 0.9769  7 Hg 2.95-3.27
5 Cd 0.6585 0.3484 0.0231  7 Hg 2.95-3.27
6 Cd 0.0000 0.5000 0.5000  10 Hg 3.09-3.32
7 Hg 0.4480 0.6313 0.6313  5 Hg 2.97-3.30, 3 Cd 2.99-3.09
8 Hg 0.5520 0.3687 0.3687  5 Hg 2.97-3.30, 3 Cd 2.99-3.09
9 Hg 0.7545 0.2309 0.6844  3 Cd 2.95-3.27, 3 Hg 3.18-3.30
10 Hg 0.2455 0.7691 0.3156  3 Cd 2.95-3.27, 3 Hg 3.18-3.30
11 Hg 0.2455 0.3156 0.7691  3 Cd 2.95-3.27, 3 Hg 3.18-3.30
12 Hg 0.7545 0.6844 0.2309  3 Cd 2.95-3.27, 3 Hg 3.18-3.30
13 Hg 0.5000 0.0000 0.0000  4 Cd 3.01, 2 Na 3.21
14 Hg 0.8680 0.8618 0.6214  4 Hg 3.09-3.37, 3 Cd 3.12-3.21, 1 Na 3.23
15 Hg 0.1320 0.1382 0.3786  4 Hg 3.09-3.37, 3 Cd 3.12-3.21, 1 Na 3.23
16 Hg 0.1320 0.3786 0.1382  4 Hg 3.09-3.37, 3 Cd 3.12-3.21, 1 Na 3.23
17 Hg 0.8680 0.6214 0.8618  4 Hg 3.09-3.37, 3 Cd 3.12-3.21, 1 Na 3.23

No. 2
Density functional theory data (PBE-GGA) for a relaxed AcGeAs3 crystal.

Properties
Energy of formation   -0.4516 eV/atom
Final energy   -4.99 eV/atom
Spin magnetization   0.0 μB/f.u.
Relative energy among the computed polymorphs   0 meV/atom

a = 6.3219 Å, b = 6.7479 Å, c = 6.3164 Å
α = 83.66°, β = 105.63°, γ = 83.63°
Last column: nearest neighbours and their distance in Å.
Element x y z (fractional)
1 Ac 0.3302 0.9019 0.4083  8 As 3.18-3.54
2 Ac 0.6555 0.3998 0.0759  8 As 3.18-3.53
3 Ge 0.9927 0.1508 0.7420  6 As 2.76-2.89
4 Ge 0.9928 0.6508 0.7419  6 As 2.76-2.88
5 As 0.1688 0.3427 0.0996  1 As 2.60, 2 Ge 2.76-2.79
6 As 0.8168 0.9588 0.3841  1 As 2.60, 2 Ge 2.76-2.79
7 As 0.3489 0.8424 0.9202  1 As 2.60, 2 Ge 2.76-2.78
8 As 0.7592 0.9002 0.9741  2 As 2.60, 2 Ge 2.88-2.89
9 As 0.2261 0.4013 0.5097  2 As 2.60, 2 Ge 2.88-2.89
10 As 0.6362 0.4591 0.5639  1 As 2.60, 2 Ge 2.76-2.78

No. 3
Density functional theory data (PBE-GGA) for a relaxed Pr2Y3ScTe6 crystal.

Properties
Final energy   -5.82 eV/atom
Spin magnetization   0.0 μB/f.u.
Formation energy (no corrections)   -1.31 eV/atom

a = 4.3607 Å, b = 8.8302 Å, c = 9.8283 Å
α = 102.49°, β = 102.82°, γ = 90.00°
Last column: nearest neighbours and their distance in Å.
Element x y z (fractional)
1 Pr 0.8299 0.6645 0.6599  6 Te 3.15-3.28
2 Pr 0.1701 0.3355 0.3402  6 Te 3.15-3.28
3 Y 0.5000 0.5000 0.0000  6 Te 3.02-3.17
4 Y 0.8229 0.1616 0.6458  6 Te 3.05-3.21
5 Y 0.1771 0.8384 0.3542  6 Te 3.05-3.21
6 Sc 0.5000 0.0000 0.0000  6 Te 2.95-3.04
7 Te 0.3424 0.9306 0.6848  1 Sc 2.95, 3 Y 3.07-3.09, 2 Pr 3.18
8 Te 0.6614 0.5911 0.3227  3 Y 3.02-3.05, 3 Pr 3.15-3.17
9 Te 0.6576 0.0694 0.3152  1 Sc 2.95, 3 Y 3.07-3.09, 2 Pr 3.18
10 Te 0.9946 0.2375 0.9892  2 Sc 3.04, 3 Y 3.17-3.21, 1 Pr 3.28
11 Te 0.0054 0.7625 0.0108  2 Sc 3.04, 3 Y 3.17-3.21, 1 Pr 3.28
12 Te 0.3386 0.4089 0.6773  3 Y 3.02-3.05, 3 Pr 3.15-3.17

No. 4
Density functional theory data (PBE-GGA) for a relaxed AlSi2Au crystal.

Properties
Final energy   -4.16 eV/atom
Spin magnetization   0.0 μB/f.u.
Formation energy (no corrections)   0.30 eV/atom

a = 2.9922 Å, b = 2.9922 Å, c = 9.3622 Å
α = 90.00°, β = 90.00°, γ = 126.54°
Last column: nearest neighbours and their distance in Å.
Element x y z (fractional)
1 Si 0.0000 0.0000 0.0025  2 Al 2.68, 6 Si 2.69-2.99, 2 Au 2.72
2 Si 0.0000 0.0000 0.4975  2 Al 2.68, 6 Si 2.69-2.99, 2 Au 2.72
3 Au 0.5000 0.5000 0.7500  6 Au 2.69-2.99, 4 Si 2.72
4 Al 0.5000 0.5000 0.2500  4 Si 2.68, 6 Al 2.69-2.99